Here is an optimized crystal structure of MgTl3H2Pd9 from the Alexandria database. Energies are from PBE.

Cell: 5.722 5.722 8.784 Å, 90.00 90.00 120.00°
Sites, in units of the cell vectors:
Mg 0.000 0.000 0.000
Tl 0.000 0.000 0.500
Tl 0.333 0.667 0.184
Tl 0.667 0.333 0.816
H 0.333 0.667 0.622
H 0.667 0.333 0.378
Pd 0.000 0.500 0.500
Pd 0.168 0.336 0.768
Pd 0.168 0.832 0.768
Pd 0.336 0.168 0.232
Pd 0.500 0.000 0.500
Pd 0.500 0.500 0.500
Pd 0.664 0.832 0.768
Pd 0.832 0.168 0.232
Pd 0.832 0.664 0.232

The total DFT energy (no corrections) is -4.34 eV/atom.